Density functional theory data (PBE) for crystalline Cs2VPb at its relaxed geometry.

a b c (Å): 10.430 10.430 10.430
angles (deg): 93.83 93.83 150.06
Atoms (fractional coordinates):
Cs1 0.375 0.127 0.252
Cs2 0.873 0.125 0.248
Cs3 0.875 0.123 0.748
Cs4 0.877 0.625 0.752
V1 0.000 0.000 0.000
V2 0.750 0.250 0.500
Pb1 0.250 0.750 0.500
Pb2 0.500 0.500 0.000

Summary:
* ΔH_f (0 K): 0.5850 eV per atom
* SG: I-42d
* total magnetic moment: 0.850 μB/atom
* N(E_F): 5.18 states/eV/f.u.

Density functional theory data (PBE) for crystalline CsPb2W at its relaxed geometry.

a b c (Å): 9.231 9.231 9.231
angles (deg): 133.70 133.70 67.56
Atoms (fractional coordinates):
Cs1 0.375 0.625 0.750
Cs2 0.625 0.375 0.250
Pb1 0.000 0.000 0.000
Pb2 0.000 0.000 0.500
Pb3 0.000 0.500 0.000
Pb4 0.500 0.000 0.500
W1 0.125 0.875 0.250
W2 0.875 0.125 0.750

Summary:
* ΔH_f (0 K): 0.8054 eV per atom
* SG: I4_1/amd
* total magnetic moment: 0.117 μB/atom
* N(E_F): 3.77 states/eV/f.u.

Density functional theory data (PBE) for crystalline CsPbW2 at its relaxed geometry.

a b c (Å): 6.723 6.723 6.723
angles (deg): 101.03 101.03 128.12
Atoms (fractional coordinates):
Cs1 0.000 0.000 0.000
Cs2 0.750 0.250 0.500
Pb1 0.250 0.750 0.500
Pb2 0.500 0.500 0.000
W1 0.172 0.625 0.047
W2 0.375 0.422 0.547
W3 0.578 0.125 0.953
W4 0.875 0.828 0.453

Summary:
* ΔH_f (0 K): 2.5597 eV per atom
* SG: I-42d
* total magnetic moment: 0.000 μB/atom
* N(E_F): 5.16 states/eV/f.u.

Density functional theory data (PBE) for crystalline CsPb2W2 at its relaxed geometry.

a b c (Å): 6.102 6.102 6.102
angles (deg): 126.47 126.47 79.12
Atoms (fractional coordinates):
Cs1 0.000 0.000 0.000
Pb1 0.250 0.750 0.500
Pb2 0.750 0.250 0.500
W1 0.378 0.378 0.000
W2 0.622 0.622 0.000

Summary:
* ΔH_f (0 K): 1.1020 eV per atom
* SG: I4/mmm
* energy relative to the lowest polymorph listed for this composition: 144 meV per atom
* total magnetic moment: 0.000 μB/atom
* N(E_F): 3.60 states/eV/f.u.

Density functional theory data (PBE) for crystalline CsPbW3 at its relaxed geometry.

a b c (Å): 5.239 5.239 5.239
angles (deg): 90.00 90.00 90.00
Atoms (fractional coordinates):
Cs1 0.000 0.000 0.000
Pb1 0.500 0.500 0.500
W1 0.000 0.500 0.500
W2 0.500 0.000 0.500
W3 0.500 0.500 0.000

Summary:
* ΔH_f (0 K): 3.2913 eV per atom
* SG: Pm-3m
* energy relative to the lowest polymorph listed for this composition: 0 meV per atom
* total magnetic moment: 0.547 μB/atom
* N(E_F): 9.61 states/eV/f.u.

Density functional theory data (PBE) for crystalline CsPbW3 at its relaxed geometry.

a b c (Å): 5.022 5.022 5.022
angles (deg): 90.00 90.00 90.00
Atoms (fractional coordinates):
Cs1 0.000 0.000 0.000
Pb1 0.500 0.500 0.500
W1 0.000 0.000 0.500
W2 0.000 0.500 0.000
W3 0.500 0.000 0.000

Summary:
* ΔH_f (0 K): 3.8053 eV per atom
* SG: Pm-3m
* energy relative to the lowest polymorph listed for this composition: 514 meV per atom
* total magnetic moment: 0.173 μB/atom
* N(E_F): 8.07 states/eV/f.u.